[1]
DFT (GGA-PBE) results for a relaxed structure of Sc2InAu2.

**Magnetic moment**: 0.0003 μB/atom
**VASP energy**: -24.11 eV/cell
**SG**: I4/mmm

```
5
Lattice="3.8889 1.8128 4.8043 -2.4714 1.5746 5.7362 -0.4548 -4.7560 -4.3203" Properties=species:S:1:pos:R:3 pbc="T T T"
Sc -1.1087 -0.7438 3.3431
Sc 2.0714 -0.6247 2.8772
In 0.0000 0.0000 0.0000
Au 0.8762 2.0939 6.5155
Au 0.5413 1.2935 4.0251
```

---

[2]
DFT (GGA-PBE) results for a relaxed structure of BaNaTeIr.

**Magnetic moment**: 0.0007 μB/atom
**Energy above the most stable polymorph in this dataset**: 0.0000 eV per atom
**VASP energy**: -15.73 eV/cell
**SG**: F-43m

```
4
Lattice="5.1238 -0.3045 0.4144 2.2420 0.4602 4.6130 2.1632 -4.1054 2.2325" Properties=species:S:1:pos:R:3 pbc="T T T"
Ba 0.0000 0.0000 0.0000
Na 7.1467 -2.9622 5.4449
Te 4.7645 -1.9748 3.6299
Ir 2.3822 -0.9874 1.8150
```

---

[3]
DFT (GGA-PBE) results for a relaxed structure of PmAsNO.

**Magnetic moment**: 0.0005 μB/atom
**Energy above the most stable polymorph in this dataset**: 0.2181 eV per atom
**VASP energy**: -53.68 eV/cell
**SG**: P4/nmm

```
8
Lattice="-4.5035 -1.1610 -1.6747 2.0152 -1.9339 -4.0784 0.2966 -4.3095 2.1900" Properties=species:S:1:pos:R:3 pbc="T T T"
O -2.8738 -1.3542 -2.2756
O 0.3855 -1.7407 -3.4774
Pm -2.7255 -3.5090 -1.1806
Pm 0.5338 -3.8954 -2.3824
As -1.8599 -2.4135 -4.2678
As -0.3318 -4.9909 0.7048
N -1.7480 -4.0390 -3.4418
N -0.4437 -3.3654 -0.1212
```

---

[4]
DFT (GGA-PBE) results for a relaxed structure of K2TaSb2.

**Magnetic moment**: 0.0017 μB/atom
**VASP energy**: -45.88 eV/cell
**SG**: Cmcm

```
10
Lattice="3.6821 -8.3602 0.0000 3.6821 8.3602 0.0000 0.0000 0.0000 5.6178" Properties=species:S:1:pos:R:3 pbc="T T T"
Ta 0.0000 0.0000 0.0000
Ta 0.0000 0.0000 2.8089
Sb 5.6441 1.7804 4.2133
Sb 1.7201 1.7804 4.2133
Sb 1.7201 -1.7804 1.4044
Sb 5.6441 -1.7804 1.4044
K 3.6821 4.8090 4.2133
K 3.6821 1.4078 1.4044
K 3.6821 -4.8090 1.4044
K 3.6821 -1.4078 4.2133
```

---

[5]
DFT (GGA-PBE) results for a relaxed structure of LiInAgHg.

**Energy above the most stable polymorph in this dataset**: 0.0443 eV per atom
**VASP energy**: -8.35 eV/cell
**SG**: F-43m

```
4
Lattice="0.0000 3.4193 3.4193 3.4193 0.0000 3.4193 3.4193 3.4193 0.0000" Properties=species:S:1:pos:R:3 pbc="T T T"
Hg 1.7097 1.7097 1.7097
In 0.0000 0.0000 0.0000
Li 5.1290 5.1290 5.1290
Ag 3.4193 3.4193 3.4193
```

---

[6]
DFT (GGA-PBE) results for a relaxed structure of CsErCu3.

**Magnetic moment**: 0.0002 μB/atom
**VASP energy**: -14.79 eV/cell
**SG**: P1

```
5
Lattice="-1.7199 2.7713 0.6216 -4.8099 -3.3319 2.9522 0.2216 -1.0183 6.4720" Properties=species:S:1:pos:R:3 pbc="T T T"
Er -4.1020 -1.2194 6.6593
Cu -2.3866 -1.3757 1.9652
Cu -2.3083 -1.5959 4.4341
Cu -0.4497 -0.4830 3.2254
Cs -1.0500 1.6917 0.3804
```

---

[7]
DFT (GGA-PBE) results for a relaxed structure of Na2ZnSn2S6.

**VASP energy**: -88.96 eV/cell
**SG**: Fdd2

```
22
Lattice="0.0000 11.8928 3.6721 6.5308 0.0000 3.6721 6.5308 11.8928 0.0000" Properties=species:S:1:pos:R:3 pbc="T T T"
S 7.2553 3.2385 3.6753
S 6.0491 10.0267 3.8093
S 9.3146 19.7053 5.6453
S 2.5409 9.1849 1.8393
S 7.0125 13.7588 3.8093
S 7.8847 17.4715 2.9442
S 5.8064 20.5471 3.6753
S 10.2779 15.9731 5.6453
S 8.4424 23.4179 4.7802
S 3.9899 2.7079 1.8393
S 11.1501 12.2605 4.7802
S 5.1770 6.3141 2.9442
Na 7.5827 7.0724 4.2068
Na 10.8481 22.6596 6.0428
Na 5.4790 16.7132 4.2068
Na 8.7444 13.0188 6.0428
Zn 6.5308 11.8928 2.4573
Zn 9.7963 17.8392 4.2933
Sn 8.1416 21.1373 4.1249
Sn 4.8762 8.5947 2.2889
Sn 8.1855 15.1909 2.2889
Sn 11.4509 14.5410 4.1249
```

---

[8]
DFT (GGA-PBE) results for a relaxed structure of RbAlCoSe3.

**Magnetic moment**: 0.3535 μB/atom
**Energy above the most stable polymorph in this dataset**: 0.0000 eV per atom
**VASP energy**: -106.09 eV/cell
**SG**: Pnma

```
24
Lattice="15.5924 0.0000 0.0000 0.0000 3.7577 0.0000 0.0000 0.0000 10.5018" Properties=species:S:1:pos:R:3 pbc="T T T"
Co 7.5900 0.9394 6.0988
Co 15.3861 0.9394 9.6539
Co 0.2062 2.8183 0.8479
Co 8.0024 2.8183 4.4030
Se 6.0604 0.9394 7.9975
Se 6.6197 0.9394 3.9753
Se 14.2503 2.8183 4.4255
Se 1.1765 2.8183 9.2262
Se 1.3420 0.9394 6.0764
Se 1.7358 2.8183 2.7466
Se 6.4542 2.8183 0.8255
Se 8.9727 2.8183 6.5265
Se 9.1382 0.9394 9.6764
Se 9.5320 2.8183 2.5043
Se 13.8565 0.9394 7.7552
Se 14.4159 0.9394 1.2756
Al 8.1116 0.9394 1.4624
Al 7.4808 2.8183 9.0394
Al 0.3154 0.9394 3.7885
Al 15.2770 2.8183 6.7133
Rb 11.4236 0.9394 4.8326
Rb 4.1688 2.8183 5.6692
Rb 11.9650 2.8183 10.0835
Rb 3.6274 0.9394 0.4183
```

---

[9]
DFT (GGA-PBE) results for a relaxed structure of TbMg.

**Magnetic moment**: 0.0004 μB/atom
**VASP energy**: -37.31 eV/cell
**SG**: P2_1/m

```
12
Lattice="9.1738 -0.8952 0.0000 0.6495 6.7337 0.0000 0.0000 0.0000 5.3275" Properties=species:S:1:pos:R:3 pbc="T T T"
Mg 1.7507 0.0531 2.6637
Mg 5.2738 3.0386 2.6637
Mg 6.6237 2.9753 0.0000
Mg 0.3236 0.1218 0.0000
Mg 6.4450 -0.4069 0.0000
Mg 4.8036 -0.3129 2.6637
Tb 0.5496 3.5013 0.0000
Tb 3.8472 4.9277 0.0000
Tb 8.3710 4.4672 2.6637
Tb 3.5267 1.5464 0.0000
Tb 8.0505 1.0859 2.6637
Tb 2.1746 3.4073 2.6637
```

---

[10]
DFT (GGA-PBE) results for a relaxed structure of LiSmAlF6.

**Magnetic moment**: 0.0000 μB/atom
**VASP energy**: -101.40 eV/cell
**SG**: P-31c

```
18
Lattice="-1.1595 1.7268 4.5249 -0.3947 -4.8657 -0.9847 8.6000 -1.2393 2.6767" Properties=species:S:1:pos:R:3 pbc="T T T"
F 6.4281 -4.8508 4.0075
F 2.4883 0.4928 3.6991
F 6.8670 -2.4161 3.7246
F 4.4923 -2.6986 3.7330
F 4.5575 -4.8710 2.5177
F -0.1891 -0.4011 4.3971
F 5.2222 -2.7726 1.3534
F 2.5535 -1.6797 2.4839
F 0.1788 -1.9621 2.4922
F 0.6177 0.4726 2.2093
F 1.8235 -1.6056 4.8634
F 7.2349 -3.9771 1.8197
Sm 4.3000 -0.6197 1.3383
Sm 0.0000 0.0000 0.0000
Li 5.5454 -1.4002 4.6959
Li 1.5004 -2.9780 1.5210
Al 5.8003 -3.5977 2.8593
Al 1.2454 -0.7805 3.3575
```

---

[11]
DFT (GGA-PBE) results for a relaxed structure of LaPr2Mg3CuPt2.

**Magnetic moment**: 0.0010 μB/atom
**VASP energy**: -40.97 eV/cell
**SG**: Amm2

```
9
Lattice="-2.7375 -2.9832 -0.8694 5.6612 -4.4340 -2.6109 -1.9745 -0.3398 7.3832" Properties=species:S:1:pos:R:3 pbc="T T T"
Mg -0.4952 -2.6227 0.6961
Mg -2.8573 -1.7587 5.1689
Mg 2.9279 -4.8607 -2.4032
Pr 2.3464 -1.8387 -1.0788
Pr -0.8158 -0.1432 3.0601
La 2.1460 -2.7788 2.7779
Pt -0.7800 -3.2102 3.6087
Pt 1.7408 -4.5618 0.3093
Cu 0.0034 -0.0044 0.0044
```

---

[12]
DFT (GGA-PBE) results for a relaxed structure of SrTmNO.

**Magnetic moment**: 0.0000 μB/atom
**Energy above the most stable polymorph in this dataset**: 0.0763 eV per atom
**VASP energy**: -55.50 eV/cell
**SG**: Pmc2_1

```
8
Lattice="-2.4095 -0.4237 -2.9274 -4.0419 -1.9244 3.6053 -2.2767 6.5237 0.9297" Properties=species:S:1:pos:R:3 pbc="T T T"
Sr -5.4555 2.4530 4.1351
Sr -2.6884 1.2773 2.0278
N -3.2726 3.7250 2.1544
N -4.4082 0.2258 3.5955
O -6.6795 3.7683 2.4663
O -2.9929 -0.0422 -0.0165
Tm -5.5788 -1.0888 2.2633
Tm -5.1130 4.3295 1.0957
```